A plane-wave DFT calculation with PBE was carried out for a relaxed structure of SbBrF3.

Results
DOS at the Fermi energy, states/eV per cell: 1.0
Distance to the lowest polymorph of the same formula, eV/atom: 0.200
Uncorrected formation energy, eV per formula unit: -8.08
E_tot, eV per cell: -19.5
M_tot, μB per cell: 0.99
Space-group type: R3m
Crystal system: trigonal

Structure (POSCAR):
```
SbBrF3
1.0
5.070 0.076 0.024
0.024 5.070 0.024
0.075 0.076 5.069
Br F Sb
1 3 1
Direct
0.713 0.713 0.713 Br
0.265 0.862 0.265 F
0.265 0.265 0.862 F
0.862 0.265 0.265 F
0.020 0.020 0.020 Sb
```



A plane-wave DFT calculation with PBE was carried out for a relaxed structure of ZrSc5Au6.

Results
DOS at the Fermi energy, states/eV per cell: 10.7
E_tot, eV per cell: -68.7
M_tot, μB per cell: 0.00
ΔH_f (0 K), meV/atom: -737
Space-group type: C2/m
Crystal system: monoclinic

Structure (POSCAR):
```
ZrSc5Au6
1.0
-1.738 -1.373 -4.264
7.388 -3.774 0.917
-6.043 -1.328 5.601
Au Sc Zr
6 5 1
Direct
0.748 0.581 0.916 Au
0.252 0.419 0.084 Au
0.748 0.916 0.581 Au
0.242 0.741 0.741 Au
0.252 0.084 0.419 Au
0.758 0.259 0.259 Au
0.500 0.165 0.835 Sc
0.500 0.500 0.500 Sc
0.000 0.668 0.332 Sc
0.500 0.835 0.165 Sc
0.000 0.332 0.668 Sc
0.000 0.000 0.000 Zr
```



A plane-wave DFT calculation with PBE was carried out for a relaxed structure of NaAsRu.

Results
DOS at the Fermi energy, states/eV per cell: 1.2
E_tot, eV per cell: -31.6
M_tot, μB per cell: 0.00
ΔH_f (0 K), meV/atom: -192
Space-group type: C2/m
Crystal system: monoclinic

Structure (POSCAR):
```
NaAsRu
1.0
3.151 -0.004 0.002
-1.563 7.312 -0.023
1.570 1.224 4.940
As Na Ru
2 2 2
Direct
0.102 0.660 0.526 As
0.224 0.174 0.800 As
0.884 0.063 0.368 Na
0.442 0.771 0.958 Na
0.552 0.439 0.404 Ru
0.774 0.395 0.921 Ru
```



A plane-wave DFT calculation with PBE was carried out for a relaxed structure of Rb3Cu2Br8.

Results
DOS at the Fermi energy, states/eV per cell: 12.3
Uncorrected formation energy, eV per formula unit: -11.76
E_tot, eV per cell: -36.2
M_tot, μB per cell: 2.05
Space-group type: R-3m
Crystal system: trigonal

Structure (POSCAR):
```
Rb3Cu2Br8
1.0
-5.855 -3.478 2.397
0.429 -4.158 5.886
-4.169 5.428 8.566
Cu Rb Br
2 3 8
Direct
0.598 0.598 0.206 Cu
0.402 0.402 0.794 Cu
0.000 0.000 0.000 Rb
0.790 0.790 0.631 Rb
0.210 0.210 0.369 Rb
0.675 0.675 0.974 Br
0.781 0.264 0.691 Br
0.325 0.325 0.026 Br
0.264 0.264 0.691 Br
0.264 0.781 0.691 Br
0.736 0.219 0.309 Br
0.219 0.736 0.309 Br
0.736 0.736 0.309 Br
```



A plane-wave DFT calculation with PBE was carried out for a relaxed structure of KZrNi.

Results
DOS at the Fermi energy, states/eV per cell: 3.3
Distance to the lowest polymorph of the same formula, eV/atom: 0.698
E_tot, eV per cell: -12.4
M_tot, μB per cell: 0.00
ΔH_f (0 K), meV/atom: 1011
Space-group type: P3m1
Crystal system: trigonal

Structure (POSCAR):
```
KZrNi
1.0
-3.470 3.172 -1.946
-1.037 -4.965 0.408
-1.072 0.440 2.627
Zr K Ni
1 1 1
Direct
0.333 0.667 0.661 Zr
0.000 0.000 0.992 K
0.667 0.333 0.347 Ni
```



A plane-wave DFT calculation with PBE was carried out for a relaxed structure of Fe4CoIr3.

Results
DOS at the Fermi energy, states/eV per cell: 10.1
E_tot, eV per cell: -67.5
M_tot, μB per cell: 9.71
ΔH_f (0 K), meV/atom: 2
Space-group type: I4/mmm
Crystal system: tetragonal

Structure (POSCAR):
```
Fe4CoIr3
1.0
-3.503 1.150 -0.567
0.514 -0.249 -3.686
-0.786 -7.328 2.273
Co Fe Ir
1 4 3
Direct
0.500 0.000 0.000 Co
0.878 0.878 0.756 Fe
0.378 0.378 0.756 Fe
0.122 0.122 0.244 Fe
0.622 0.622 0.244 Fe
0.750 0.250 0.501 Ir
0.250 0.750 0.499 Ir
0.000 0.500 0.000 Ir
```



A plane-wave DFT calculation with PBE was carried out for a relaxed structure of Ti5V2Ga2.

Results
DOS at the Fermi energy, states/eV per cell: 22.4
E_tot, eV per cell: -127.2
M_tot, μB per cell: 0.00
ΔH_f (0 K), meV/atom: 21
Space-group type: Ima2
Crystal system: orthorhombic

Structure (POSCAR):
```
Ti5V2Ga2
1.0
7.780 0.000 0.000
0.000 6.350 0.000
-3.890 -3.175 5.994
Ga V Ti
4 4 10
Direct
0.891 0.424 0.722 Ga
0.331 0.924 0.722 Ga
0.669 0.202 0.278 Ga
0.109 0.702 0.278 Ga
0.730 0.960 0.500 V
0.270 0.460 0.500 V
0.500 0.358 0.000 V
0.000 0.858 0.000 V
0.114 0.152 0.898 Ti
0.564 0.271 0.713 Ti
0.069 0.158 0.500 Ti
0.285 0.652 0.898 Ti
0.715 0.754 0.102 Ti
0.436 0.558 0.287 Ti
0.649 0.771 0.713 Ti
0.351 0.058 0.287 Ti
0.931 0.658 0.500 Ti
0.886 0.254 0.102 Ti
```



A plane-wave DFT calculation with PBE was carried out for a relaxed structure of Th5SiTe4.

Results
DOS at the Fermi energy, states/eV per cell: 7.2
Distance to the lowest polymorph of the same formula, eV/atom: 0.000
Uncorrected formation energy, eV per formula unit: -10.07
E_tot, eV per cell: -65.2
M_tot, μB per cell: 0.00
Space-group type: I4/m
Crystal system: tetragonal

Structure (POSCAR):
```
Th5SiTe4
1.0
6.230 0.000 0.000
3.115 7.025 0.000
3.115 0.000 7.025
Th Te Si
5 4 1
Direct
0.730 0.168 0.373 Th
0.103 0.627 0.168 Th
0.272 0.832 0.627 Th
0.898 0.373 0.832 Th
0.502 0.000 0.000 Th
0.588 0.601 0.224 Te
0.812 0.776 0.601 Te
0.189 0.224 0.399 Te
0.413 0.399 0.776 Te
0.002 0.000 0.000 Si
```



A plane-wave DFT calculation with PBE was carried out for a relaxed structure of Mg5InSn2Rh2.

Results
DOS at the Fermi energy, states/eV per cell: 9.2
E_tot, eV per cell: -72.6
M_tot, μB per cell: 0.00
ΔH_f (0 K), meV/atom: -290
Space-group type: P4/mbm
Crystal system: tetragonal

Structure (POSCAR):
```
Mg5InSn2Rh2
1.0
4.414 0.000 0.000
0.000 9.526 0.000
0.000 0.000 9.526
Mg Sn Rh In
10 4 4 2
Direct
0.500 0.000 0.500 Mg
0.500 0.209 0.080 Mg
0.500 0.080 0.791 Mg
0.500 0.500 0.000 Mg
0.500 0.709 0.420 Mg
0.500 0.791 0.920 Mg
0.500 0.291 0.580 Mg
0.500 0.420 0.291 Mg
0.500 0.920 0.209 Mg
0.500 0.580 0.709 Mg
0.000 0.829 0.671 Sn
0.000 0.171 0.329 Sn
0.000 0.329 0.829 Sn
0.000 0.671 0.171 Sn
0.000 0.880 0.380 Rh
0.000 0.620 0.880 Rh
0.000 0.120 0.620 Rh
0.000 0.380 0.120 Rh
0.000 0.500 0.500 In
0.000 0.000 0.000 In
```



A plane-wave DFT calculation with PBE was carried out for a relaxed structure of AlTcGeOs.

Results
DOS at the Fermi energy, states/eV per cell: 3.6
E_tot, eV per cell: -30.5
M_tot, μB per cell: 0.00
ΔH_f (0 K), meV/atom: -147
Space-group type: F-43m
Crystal system: cubic

Structure (POSCAR):
```
AlTcGeOs
1.0
4.303 0.000 0.000
2.152 3.727 0.000
2.152 1.242 3.514
Os Ge Al Tc
1 1 1 1
Direct
0.500 0.500 0.500 Os
0.250 0.250 0.250 Ge
0.750 0.750 0.750 Al
0.000 0.000 0.000 Tc
```



A plane-wave DFT calculation with PBE was carried out for a relaxed structure of CaRhSe2.

Results
DOS at the Fermi energy, states/eV per cell: 1.4
Distance to the lowest polymorph of the same formula, eV/atom: 0.387
Uncorrected formation energy, eV per formula unit: -2.10
E_tot, eV per cell: -18.4
M_tot, μB per cell: 0.00
Space-group type: R-3m
Crystal system: trigonal

Structure (POSCAR):
```
CaRhSe2
1.0
2.228 0.000 8.119
-1.114 1.929 8.119
-1.114 -1.929 8.119
Se Rh Ca
2 1 1
Direct
0.117 0.117 0.117 Se
0.883 0.883 0.883 Se
0.500 0.500 0.500 Rh
0.000 0.000 0.000 Ca
```



A plane-wave DFT calculation with PBE was carried out for a relaxed structure of K4Tl5Pd.

Results
DOS at the Fermi energy, states/eV per cell: 4.1
E_tot, eV per cell: -22.5
M_tot, μB per cell: 0.00
ΔH_f (0 K), meV/atom: -105
Space-group type: I4mm
Crystal system: tetragonal

Structure (POSCAR):
```
K4Tl5Pd
1.0
-2.783 -4.823 -3.686
1.703 -7.636 2.657
-7.525 -2.244 2.570
K Tl Pd
4 5 1
Direct
0.565 0.706 0.294 K
0.566 0.294 0.706 K
0.860 0.706 0.706 K
0.271 0.294 0.294 K
0.871 0.000 0.310 Tl
0.181 0.000 0.690 Tl
0.871 0.310 0.000 Tl
0.181 0.690 0.000 Tl
0.356 0.000 0.000 Tl
0.769 0.000 0.000 Pd
```